Cd2ReBr: optimized geometry, GGA-PBE.

Cell: 3.2620 2.9334 8.8598 Å, 90.04 90.00 90.00°
Last column: nearest neighbours and their distance in Å.
Atoms (fractional coordinates):
Cd  0.0000  0.7491  0.0351  4 Re 2.90-2.91, 2 Cd 2.93, 2 Br 3.01
Re  0.5000  0.2500  0.2500  8 Cd 2.90-2.91, 2 Re 2.93
Cd  0.0000  0.7509  0.4649  4 Re 2.90-2.91, 2 Cd 2.93, 2 Br 3.01
Br  0.5000  0.7500  0.7500  4 Br 2.93-3.26, 4 Cd 3.01

Output
Its space group is Pmmm. Its energy above the most stable polymorph in this dataset is 34 meV/atom.


CdRe2Br: optimized geometry, GGA-PBE.

Cell: 5.5774 5.5774 5.4740 Å, 63.92 63.92 30.15°
Last column: nearest neighbours and their distance in Å.
Atoms (fractional coordinates):
Br  0.4634  0.4634  0.5521  4 Re 2.56-2.65
Re  0.0282  0.0282  0.8626  2 Br 2.56, 2 Re 2.58
Re  0.7354  0.7354  0.8179  2 Re 2.58, 2 Br 2.65
Cd  0.2729  0.2729  0.2673  2 Cd 2.90, 7 Re 3.00-3.20, 1 Br 3.09

Output
Its space group is Cm. Its energy above the most stable polymorph in this dataset is 653 meV/atom.


Among the records above, which one has the lowest energy above the most stable polymorph in this dataset? Cd2ReBr


Number 1 is which compound? Cd2ReBr


The highest energy above the most stable polymorph in this dataset belongs to which entry? CdRe2Br